A plane-wave DFT calculation with PBE-GGA was carried out for a geometry-optimized ScTa2Ni structure.

abc: 5.331 5.331 5.331
angles: 137.12 137.12 62.26
Fractional coordinates of all 4 atoms:
Sc (0.000, 0.000, 0.000)
Ta (0.250, 0.750, 0.500)
Ta (0.750, 0.250, 0.500)
Ni (0.500, 0.500, 0.000)

E_tot ... -8.88 eV per atom
Density of states at the Fermi level ... 1.16 states/eV per atom
ΔE_f ... 0.070 eV/atom
Magnetization ... 0.0 μB per cell